Here is AcLa4PrHo2 after structural relaxation from Alexandria. Energies are from GGA-PBE.

Unit cell a=11.740 b=5.256 c=10.557 alpha=90.00 beta=116.86 gamma=90.00
Atoms (fractional coordinates):
Ac: 0.000 0.000 0.000
Ac: 0.500 0.500 0.000
La: 0.248 0.000 0.871
La: 0.249 0.500 0.623
La: 0.251 0.000 0.377
La: 0.252 0.500 0.129
La: 0.748 0.500 0.871
La: 0.749 0.000 0.623
La: 0.751 0.500 0.377
La: 0.752 0.000 0.129
Pr: 0.000 0.000 0.500
Pr: 0.500 0.500 0.500
Ho: 0.001 0.500 0.746
Ho: 0.499 0.000 0.254
Ho: 0.501 0.000 0.746
Ho: 0.999 0.500 0.254

As for the space group: C2/m. The calculation puts the formation energy at 29 meV per atom. The total magnetization is 0.00 μB/atom. As for the crystal system: monoclinic. The calculation puts the total energy at -4.690 eV per atom.



Here is LaTiNF2 after structural relaxation from Alexandria. Energies are from GGA-PBE.

Unit cell a=4.089 b=4.089 c=4.143 alpha=90.00 beta=90.00 gamma=90.00
Atoms (fractional coordinates):
La: 0.000 0.000 0.000
Ti: 0.500 0.500 0.500
N: 0.500 0.500 0.000
F: 0.000 0.500 0.500
F: 0.500 0.000 0.500

As for the space group: P4/mmm. The total magnetization is 0.31 μB/atom. As for the crystal system: tetragonal. The calculation puts the total energy at -7.152 eV per atom. Its uncorrected formation energy is -2.174 eV per atom.



Here is CaTeC after structural relaxation from Alexandria. Energies are from GGA-PBE.

Unit cell a=3.742 b=3.742 c=4.569 alpha=90.00 beta=90.00 gamma=90.00
Atoms (fractional coordinates):
Ca: 0.000 0.000 0.000
Te: 0.500 0.500 0.500
C: 0.500 0.500 0.000

As for the space group: P4/mmm. The total magnetization is 0.00 μB/atom. As for the crystal system: tetragonal. For the polymorph energy (0 for the lowest one), the calculation gives 226 kJ/mol of formula units. The calculation puts the total energy at -4.464 eV per atom. Its uncorrected formation energy is 0.325 eV per atom.



Here is Mg2TlCl after structural relaxation from Alexandria. Energies are from GGA-PBE.

Unit cell a=3.326 b=3.326 c=9.841 alpha=90.00 beta=90.00 gamma=90.00
Atoms (fractional coordinates):
Mg: 0.000 0.000 0.000
Mg: 0.500 0.500 0.228
Tl: 0.000 0.000 0.459
Cl: 0.500 0.500 0.862

As for the space group: P4mm. The total magnetization is 0.00 μB/atom. As for the crystal system: tetragonal. For the polymorph energy (0 for the lowest one), the calculation gives 18 kJ/mol of formula units. The calculation puts the total energy at -2.314 eV per atom. Its uncorrected formation energy is -0.464 eV per atom.